[1]
The following is a PBE calculation of crystalline Sr3In8Sn3 at its relaxed geometry, from Alexandria via LeMat-Bulk.

Calculated values
- Calculated volume: 29.6 Å³/atom
- Calculated formation energy: -0.295 eV/atom

The structure in CIF format:
```
data_Sr3In8Sn3
_chemical_formula_sum 'Sr3 In8 Sn3'
_symmetry_space_group_name_H-M 'P 1'
_symmetry_Int_Tables_number 1
_symmetry_space_group_name_Hall 'P 1'
_cell_length_a 5.0591
_cell_length_b 9.5313
_cell_length_c 9.5313
_cell_angle_alpha 72.91
_cell_angle_beta 74.61
_cell_angle_gamma 74.61
loop_
_atom_site_label
_atom_site_type_symbol
_atom_site_fract_x
_atom_site_fract_y
_atom_site_fract_z
_atom_site_occupancy
Sr1 Sr 0.5000 0.5000 0.5000 1
Sr2 Sr 0.8112 0.1888 0.1888 1
Sr3 Sr 0.1888 0.8112 0.8112 1
In1 In 0.1601 0.2124 0.4674 1
In2 In 0.6466 0.6276 0.0793 1
In3 In 0.6466 0.0793 0.6276 1
In4 In 0.1601 0.4674 0.2124 1
In5 In 0.3534 0.9207 0.3724 1
In6 In 0.3534 0.3724 0.9207 1
In7 In 0.8399 0.7876 0.5326 1
In8 In 0.8399 0.5326 0.7876 1
Sn1 Sn 0.5000 0.0000 0.0000 1
Sn2 Sn 0.0000 0.1988 0.8012 1
Sn3 Sn 0.0000 0.8012 0.1988 1
```

=====

[2]
The following is a PBE calculation of crystalline SrIn2Sn2 at its relaxed geometry, from Alexandria via LeMat-Bulk.

Calculated values
- Calculated volume: 29.8 Å³/atom
- Calculated formation energy: -0.195 eV/atom

The structure in CIF format:
```
data_SrIn2Sn2
_chemical_formula_sum 'Sr2 In4 Sn4'
_symmetry_space_group_name_H-M 'P 1'
_symmetry_Int_Tables_number 1
_symmetry_space_group_name_Hall 'P 1'
_cell_length_a 8.6987
_cell_length_b 8.6987
_cell_length_c 3.9326
_cell_angle_alpha 90.00
_cell_angle_beta 90.00
_cell_angle_gamma 90.00
loop_
_atom_site_label
_atom_site_type_symbol
_atom_site_fract_x
_atom_site_fract_y
_atom_site_fract_z
_atom_site_occupancy
In1 In 0.8402 0.3402 0.5000 1
In2 In 0.6598 0.8402 0.5000 1
In3 In 0.1598 0.6598 0.5000 1
In4 In 0.3402 0.1598 0.5000 1
Sn1 Sn 0.6318 0.1318 0.0000 1
Sn2 Sn 0.1318 0.3682 0.0000 1
Sn3 Sn 0.3682 0.8682 0.0000 1
Sn4 Sn 0.8682 0.6318 0.0000 1
Sr1 Sr 0.5000 0.5000 0.0000 1
Sr2 Sr 0.0000 0.0000 0.0000 1
```

=====

[3]
The following is a PBE calculation of crystalline SrIn15Sn4 at its relaxed geometry, from Alexandria via LeMat-Bulk.

Calculated values
- Calculated volume: 27.7 Å³/atom
- Calculated formation energy: -0.051 eV/atom

The structure in CIF format:
```
data_SrIn15Sn4
_chemical_formula_sum 'Sr1 In15 Sn4'
_symmetry_space_group_name_H-M 'P 1'
_symmetry_Int_Tables_number 1
_symmetry_space_group_name_Hall 'P 1'
_cell_length_a 5.0182
_cell_length_b 5.0182
_cell_length_c 22.0367
_cell_angle_alpha 90.00
_cell_angle_beta 90.00
_cell_angle_gamma 90.00
loop_
_atom_site_label
_atom_site_type_symbol
_atom_site_fract_x
_atom_site_fract_y
_atom_site_fract_z
_atom_site_occupancy
In1 In 0.0000 0.5000 0.1067 1
In2 In 0.0000 0.5000 0.6973 1
In3 In 0.5000 0.0000 0.5000 1
In4 In 0.5000 0.0000 0.8933 1
In5 In 0.5000 0.5000 0.4012 1
In6 In 0.5000 0.5000 0.5988 1
In7 In 0.5000 0.5000 0.0000 1
In8 In 0.5000 0.5000 0.2067 1
In9 In 0.0000 0.5000 0.3027 1
In10 In 0.5000 0.0000 0.3027 1
In11 In 0.0000 0.5000 0.8933 1
In12 In 0.5000 0.0000 0.1067 1
In13 In 0.5000 0.5000 0.7933 1
In14 In 0.5000 0.0000 0.6973 1
In15 In 0.0000 0.5000 0.5000 1
Sn1 Sn 0.0000 0.0000 0.3999 1
Sn2 Sn 0.0000 0.0000 0.6001 1
Sn3 Sn 0.0000 0.0000 0.8034 1
Sn4 Sn 0.0000 0.0000 0.1966 1
Sr1 Sr 0.0000 0.0000 0.0000 1
```

=====

[4]
The following is a PBE calculation of crystalline Sr4In2Sn at its relaxed geometry, from Alexandria via LeMat-Bulk.

Calculated values
- Calculated volume: 46.9 Å³/atom
- Calculated formation energy: -0.149 eV/atom

The structure in CIF format:
```
data_Sr4In2Sn
_chemical_formula_sum 'Sr4 In2 Sn1'
_symmetry_space_group_name_H-M 'P 1'
_symmetry_Int_Tables_number 1
_symmetry_space_group_name_Hall 'P 1'
_cell_length_a 6.3793
_cell_length_b 6.3793
_cell_length_c 9.2484
_cell_angle_alpha 69.83
_cell_angle_beta 69.83
_cell_angle_gamma 90.00
loop_
_atom_site_label
_atom_site_type_symbol
_atom_site_fract_x
_atom_site_fract_y
_atom_site_fract_z
_atom_site_occupancy
Sr1 Sr 0.8023 0.8023 0.3954 1
Sr2 Sr 0.0000 0.5000 0.0000 1
Sr3 Sr 0.5000 0.0000 0.0000 1
Sr4 Sr 0.1977 0.1977 0.6046 1
Sn1 Sn 0.0000 0.0000 0.0000 1
In1 In 0.5953 0.5953 0.8094 1
In2 In 0.4047 0.4047 0.1906 1
```

=====

[5]
The following is a PBE calculation of crystalline Sr2InSnTe4 at its relaxed geometry, from Alexandria via LeMat-Bulk.

Calculated values
- Raw formation energy: -7.4 eV per formula unit
- Calculated volume: 35.5 Å³/atom

The structure in CIF format:
```
data_Sr2InSnTe4
_chemical_formula_sum 'Sr2 In1 Sn1 Te4'
_symmetry_space_group_name_H-M 'P 1'
_symmetry_Int_Tables_number 1
_symmetry_space_group_name_Hall 'P 1'
_cell_length_a 4.5964
_cell_length_b 8.1570
_cell_length_c 8.0240
_cell_angle_alpha 70.97
_cell_angle_beta 90.00
_cell_angle_gamma 90.00
loop_
_atom_site_label
_atom_site_type_symbol
_atom_site_fract_x
_atom_site_fract_y
_atom_site_fract_z
_atom_site_occupancy
Te1 Te 0.0000 0.7377 0.7548 1
Te2 Te 0.5000 0.7390 0.2534 1
Te3 Te 0.0000 0.2623 0.2452 1
Te4 Te 0.5000 0.2610 0.7466 1
Sn1 Sn 0.0000 0.5000 0.5000 1
Sr1 Sr 0.0000 0.0000 0.0000 1
Sr2 Sr 0.5000 0.0000 0.5000 1
In1 In 0.5000 0.5000 0.0000 1
```

=====

[6]
The following is a PBE calculation of crystalline Sr3TlIn6Sn2 at its relaxed geometry, from Alexandria via LeMat-Bulk.

Calculated values
- Calculated volume: 31.7 Å³/atom
- Calculated formation energy: -0.204 eV/atom

The structure in CIF format:
```
data_Sr3TlIn6Sn2
_chemical_formula_sum 'Sr3 Tl1 In6 Sn2'
_symmetry_space_group_name_H-M 'P 1'
_symmetry_Int_Tables_number 1
_symmetry_space_group_name_Hall 'P 1'
_cell_length_a 6.2011
_cell_length_b 6.2011
_cell_length_c 11.4270
_cell_angle_alpha 90.00
_cell_angle_beta 90.00
_cell_angle_gamma 120.00
loop_
_atom_site_label
_atom_site_type_symbol
_atom_site_fract_x
_atom_site_fract_y
_atom_site_fract_z
_atom_site_occupancy
Sr1 Sr 0.6667 0.3333 0.4294 1
Sr2 Sr 0.3333 0.6667 0.5706 1
Sr3 Sr 0.0000 0.0000 0.0000 1
In1 In 0.8311 0.1689 0.7335 1
In2 In 0.6622 0.8311 0.2665 1
In3 In 0.8311 0.6622 0.7335 1
In4 In 0.1689 0.3378 0.2665 1
In5 In 0.3378 0.1689 0.7335 1
In6 In 0.1689 0.8311 0.2665 1
Sn1 Sn 0.3333 0.6667 0.0357 1
Sn2 Sn 0.6667 0.3333 0.9643 1
Tl1 Tl 0.0000 0.0000 0.5000 1
```

=====

[7]
The following is a PBE calculation of crystalline Sr3Tl2In6Sn at its relaxed geometry, from Alexandria via LeMat-Bulk.

Calculated values
- Calculated volume: 31.3 Å³/atom
- Calculated formation energy: -0.248 eV/atom

The structure in CIF format:
```
data_Sr3Tl2In6Sn
_chemical_formula_sum 'Sr3 Tl2 In6 Sn1'
_symmetry_space_group_name_H-M 'P 1'
_symmetry_Int_Tables_number 1
_symmetry_space_group_name_Hall 'P 1'
_cell_length_a 6.2770
_cell_length_b 6.2770
_cell_length_c 11.0015
_cell_angle_alpha 90.00
_cell_angle_beta 90.00
_cell_angle_gamma 120.00
loop_
_atom_site_label
_atom_site_type_symbol
_atom_site_fract_x
_atom_site_fract_y
_atom_site_fract_z
_atom_site_occupancy
In1 In 0.6584 0.8292 0.2623 1
In2 In 0.1708 0.8292 0.2623 1
In3 In 0.8292 0.1708 0.7377 1
In4 In 0.3416 0.1708 0.7377 1
In5 In 0.8292 0.6584 0.7377 1
In6 In 0.1708 0.3416 0.2623 1
Sr1 Sr 0.3333 0.6667 0.5692 1
Sr2 Sr 0.0000 0.0000 0.0000 1
Sr3 Sr 0.6667 0.3333 0.4308 1
Tl1 Tl 0.6667 0.3333 0.0818 1
Tl2 Tl 0.3333 0.6667 0.9182 1
Sn1 Sn 0.0000 0.0000 0.5000 1
```

=====

[8]
The following is a PBE calculation of crystalline SrTlIn2Sn at its relaxed geometry, from Alexandria via LeMat-Bulk.

Calculated values
- Calculated volume: 38.5 Å³/atom
- Calculated formation energy: 0.172 eV/atom

The structure in CIF format:
```
data_SrTlIn2Sn
_chemical_formula_sum 'Sr1 Tl1 In2 Sn1'
_symmetry_space_group_name_H-M 'P 1'
_symmetry_Int_Tables_number 1
_symmetry_space_group_name_Hall 'P 1'
_cell_length_a 5.7769
_cell_length_b 5.7715
_cell_length_c 5.7769
_cell_angle_alpha 90.00
_cell_angle_beta 90.00
_cell_angle_gamma 90.00
loop_
_atom_site_label
_atom_site_type_symbol
_atom_site_fract_x
_atom_site_fract_y
_atom_site_fract_z
_atom_site_occupancy
Sr1 Sr 0.5000 0.5000 0.5000 1
Tl1 Tl 0.0000 0.0000 0.0000 1
Sn1 Sn 0.0000 0.5000 0.0000 1
In1 In 0.0000 0.0000 0.5000 1
In2 In 0.5000 0.0000 0.0000 1
```

=====

Which value of calculated volume does entry 8 give? 38.5 Å³/atom

=====

Among the records above, which one has the highest calculated volume? Sr4In2Sn

=====

What did the third record say?
The following is a PBE calculation of crystalline SrIn15Sn4 at its relaxed geometry, from Alexandria via LeMat-Bulk.

Calculated values
- Calculated volume: 27.7 Å³/atom
- Calculated formation energy: -0.051 eV/atom

The structure in CIF format:
```
data_SrIn15Sn4
_chemical_formula_sum 'Sr1 In15 Sn4'
_symmetry_space_group_name_H-M 'P 1'
_symmetry_Int_Tables_number 1
_symmetry_space_group_name_Hall 'P 1'
_cell_length_a 5.0182
_cell_length_b 5.0182
_cell_length_c 22.0367
_cell_angle_alpha 90.00
_cell_angle_beta 90.00
_cell_angle_gamma 90.00
loop_
_atom_site_label
_atom_site_type_symbol
_atom_site_fract_x
_atom_site_fract_y
_atom_site_fract_z
_atom_site_occupancy
In1 In 0.0000 0.5000 0.1067 1
In2 In 0.0000 0.5000 0.6973 1
In3 In 0.5000 0.0000 0.5000 1
In4 In 0.5000 0.0000 0.8933 1
In5 In 0.5000 0.5000 0.4012 1
In6 In 0.5000 0.5000 0.5988 1
In7 In 0.5000 0.5000 0.0000 1
In8 In 0.5000 0.5000 0.2067 1
In9 In 0.0000 0.5000 0.3027 1
In10 In 0.5000 0.0000 0.3027 1
In11 In 0.0000 0.5000 0.8933 1
In12 In 0.5000 0.0000 0.1067 1
In13 In 0.5000 0.5000 0.7933 1
In14 In 0.5000 0.0000 0.6973 1
In15 In 0.0000 0.5000 0.5000 1
Sn1 Sn 0.0000 0.0000 0.3999 1
Sn2 Sn 0.0000 0.0000 0.6001 1
Sn3 Sn 0.0000 0.0000 0.8034 1
Sn4 Sn 0.0000 0.0000 0.1966 1
Sr1 Sr 0.0000 0.0000 0.0000 1
```